Material: Na2CoO2
Method: DFT, PBE with a Hubbard U
State: optimized geometry

a b c (Å): 4.550 6.356 10.724
angles (deg): 90.00 90.00 90.00
Atoms (fractional coordinates):
O 0.250 0.211 0.993
O 0.750 0.289 0.493
O 0.750 0.451 0.763
O 0.250 0.549 0.237
O 0.750 0.951 0.737
O 0.750 0.789 0.007
O 0.250 0.049 0.263
O 0.250 0.711 0.507
Co 0.750 0.199 0.649
Co 0.750 0.699 0.851
Co 0.250 0.301 0.149
Co 0.250 0.801 0.351
Na 0.250 0.899 0.683
Na 0.250 0.355 0.442
Na 0.250 0.855 0.058
Na 0.750 0.645 0.558
Na 0.750 0.101 0.317
Na 0.750 0.601 0.183
Na 0.750 0.145 0.942
Na 0.250 0.399 0.817

## Properties
Magnetic moment   0.596 μB per atom
Space-group type   No. 62
Volume   15.505 Å³/atom
Energy   -4.724 eV per atom